# Sc3PbN (PBE, relaxed)
data_Sc3PbN
_cell_length_a 8.043
_cell_length_b 8.043
_cell_length_c 8.043
_cell_angle_alpha 41.87
_cell_angle_beta 41.87
_cell_angle_gamma 41.87
_space_group_name_H-M_alt 'P 1'
_space_group_IT_number 1
_space_group_name_Hall 'P 1'
loop_
_atom_site_label
_atom_site_type_symbol
_atom_site_fract_x
_atom_site_fract_y
_atom_site_fract_z
_atom_site_occupancy
Sc1 Sc 0.096 0.453 0.788 1
Sc2 Sc 0.212 0.904 0.547 1
Sc3 Sc 0.453 0.788 0.096 1
Sc4 Sc 0.547 0.212 0.904 1
Sc5 Sc 0.788 0.096 0.453 1
Sc6 Sc 0.904 0.547 0.212 1
Pb1 Pb 0.337 0.337 0.337 1
Pb2 Pb 0.663 0.663 0.663 1
N1 N 0.163 0.163 0.163 1
N2 N 0.837 0.837 0.837 1
# size of the total moment	0.000	μB/f.u.
# raw formation energy	-0.7817	eV/atom

=====

# Sc2PbN2 (PBE, relaxed)
data_Sc2PbN2
_cell_length_a 4.035
_cell_length_b 4.035
_cell_length_c 10.904
_cell_angle_alpha 90.00
_cell_angle_beta 90.00
_cell_angle_gamma 90.00
_space_group_name_H-M_alt 'P 1'
_space_group_IT_number 1
_space_group_name_Hall 'P 1'
loop_
_atom_site_label
_atom_site_type_symbol
_atom_site_fract_x
_atom_site_fract_y
_atom_site_fract_z
_atom_site_occupancy
Sc1 Sc 0.000 0.000 0.189 1
Sc2 Sc 0.000 0.000 0.811 1
Sc3 Sc 0.500 0.500 0.311 1
Sc4 Sc 0.500 0.500 0.689 1
Pb1 Pb 0.000 0.000 0.500 1
Pb2 Pb 0.500 0.500 0.000 1
N1 N 0.000 0.500 0.250 1
N2 N 0.000 0.500 0.750 1
N3 N 0.500 0.000 0.250 1
N4 N 0.500 0.000 0.750 1
# size of the total moment	0.000	μB/f.u.
# raw formation energy	-0.9348	eV/atom

=====

# Sc3PbN (PBE, relaxed)
data_Sc3PbN
_cell_length_a 8.460
_cell_length_b 8.460
_cell_length_c 8.460
_cell_angle_alpha 60.00
_cell_angle_beta 60.00
_cell_angle_gamma 60.00
_space_group_name_H-M_alt 'P 1'
_space_group_IT_number 1
_space_group_name_Hall 'P 1'
loop_
_atom_site_label
_atom_site_type_symbol
_atom_site_fract_x
_atom_site_fract_y
_atom_site_fract_z
_atom_site_occupancy
Sc1 Sc 0.060 0.060 0.690 1
Sc2 Sc 0.060 0.690 0.060 1
Sc3 Sc 0.060 0.690 0.690 1
Sc4 Sc 0.310 0.310 0.940 1
Sc5 Sc 0.310 0.940 0.310 1
Sc6 Sc 0.310 0.940 0.940 1
Sc7 Sc 0.690 0.060 0.060 1
Sc8 Sc 0.690 0.060 0.690 1
Sc9 Sc 0.690 0.690 0.060 1
Sc10 Sc 0.940 0.310 0.310 1
Sc11 Sc 0.940 0.310 0.940 1
Sc12 Sc 0.940 0.940 0.310 1
Pb1 Pb 0.000 0.500 0.500 1
Pb2 Pb 0.500 0.000 0.500 1
Pb3 Pb 0.500 0.500 0.000 1
Pb4 Pb 0.500 0.500 0.500 1
N1 N 0.000 0.000 0.000 1
N2 N 0.000 0.000 0.500 1
N3 N 0.000 0.500 0.000 1
N4 N 0.500 0.000 0.000 1
# size of the total moment	0.939	μB/f.u.
# raw formation energy	-0.7324	eV/atom

=====

# Sc5Pb2N (PBE, relaxed)
data_Sc5Pb2N
_cell_length_a 8.490
_cell_length_b 8.490
_cell_length_c 11.692
_cell_angle_alpha 90.00
_cell_angle_beta 90.00
_cell_angle_gamma 151.45
_space_group_name_H-M_alt 'P 1'
_space_group_IT_number 1
_space_group_name_Hall 'P 1'
loop_
_atom_site_label
_atom_site_type_symbol
_atom_site_fract_x
_atom_site_fract_y
_atom_site_fract_z
_atom_site_occupancy
Sc1 Sc 0.118 0.882 0.618 1
Sc2 Sc 0.118 0.882 0.882 1
Sc3 Sc 0.268 0.732 0.250 1
Sc4 Sc 0.299 0.701 0.579 1
Sc5 Sc 0.299 0.701 0.921 1
Sc6 Sc 0.701 0.299 0.079 1
Sc7 Sc 0.701 0.299 0.421 1
Sc8 Sc 0.732 0.268 0.750 1
Sc9 Sc 0.882 0.118 0.118 1
Sc10 Sc 0.882 0.118 0.382 1
Pb1 Pb 0.067 0.933 0.125 1
Pb2 Pb 0.067 0.933 0.375 1
Pb3 Pb 0.933 0.067 0.625 1
Pb4 Pb 0.933 0.067 0.875 1
N1 N 0.217 0.783 0.750 1
N2 N 0.783 0.217 0.250 1
# energy relative to the lowest polymorph listed for this composition	449	meV per atom
# size of the total moment	1.596	μB/f.u.
# raw formation energy	-0.2934	eV/atom

=====

# Sc3PbN (PBE, relaxed)
data_Sc3PbN
_cell_length_a 6.183
_cell_length_b 6.183
_cell_length_c 10.698
_cell_angle_alpha 111.43
_cell_angle_beta 111.43
_cell_angle_gamma 31.15
_space_group_name_H-M_alt 'P 1'
_space_group_IT_number 1
_space_group_name_Hall 'P 1'
loop_
_atom_site_label
_atom_site_type_symbol
_atom_site_fract_x
_atom_site_fract_y
_atom_site_fract_z
_atom_site_occupancy
Sc1 Sc 0.123 0.123 0.149 1
Sc2 Sc 0.159 0.159 0.647 1
Sc3 Sc 0.355 0.355 0.097 1
Sc4 Sc 0.645 0.645 0.903 1
Sc5 Sc 0.841 0.841 0.353 1
Sc6 Sc 0.877 0.877 0.851 1
Pb1 Pb 0.422 0.422 0.629 1
Pb2 Pb 0.578 0.578 0.371 1
N1 N 0.256 0.256 0.872 1
N2 N 0.744 0.744 0.128 1
# size of the total moment	0.449	μB/f.u.
# raw formation energy	-0.9169	eV/atom

=====

# Sc10Pb4N3 (PBE, relaxed)
data_Sc10Pb4N3
_cell_length_a 16.845
_cell_length_b 16.845
_cell_length_c 16.845
_cell_angle_alpha 164.74
_cell_angle_beta 164.74
_cell_angle_gamma 21.64
_space_group_name_H-M_alt 'P 1'
_space_group_IT_number 1
_space_group_name_Hall 'P 1'
loop_
_atom_site_label
_atom_site_type_symbol
_atom_site_fract_x
_atom_site_fract_y
_atom_site_fract_z
_atom_site_occupancy
Sc1 Sc 0.000 0.500 0.500 1
Sc2 Sc 0.068 0.068 0.000 1
Sc3 Sc 0.136 0.636 0.500 1
Sc4 Sc 0.204 0.204 0.000 1
Sc5 Sc 0.364 0.864 0.500 1
Sc6 Sc 0.500 0.000 0.500 1
Sc7 Sc 0.636 0.136 0.500 1
Sc8 Sc 0.796 0.796 0.000 1
Sc9 Sc 0.864 0.364 0.500 1
Sc10 Sc 0.932 0.932 0.000 1
Pb1 Pb 0.297 0.297 0.000 1
Pb2 Pb 0.432 0.432 0.000 1
Pb3 Pb 0.568 0.568 0.000 1
Pb4 Pb 0.703 0.703 0.000 1
N1 N 0.000 0.000 0.000 1
N2 N 0.137 0.137 0.000 1
N3 N 0.863 0.863 0.000 1
# size of the total moment	0.000	μB/f.u.
# raw formation energy	-0.9869	eV/atom